(1)
Entry from the Alexandria database: a relaxed structure of CsMgMnTe3 (PBE).

Lattice parameters (Å, degrees): 4.205 8.811 13.450 113.45 90.00 90.00
Site moments in Bohr magnetons follow the coordinates.
Fractional positions:
Mg  0.750  0.893  0.394  0.00
Mg  0.250  0.107  0.606  0.00
Te  0.750  0.869  0.178  -0.08
Te  0.250  0.131  0.822  -0.08
Te  0.250  0.759  0.468  0.01
Te  0.750  0.241  0.532  0.01
Te  0.250  0.561  0.892  -0.07
Te  0.750  0.439  0.108  -0.07
Cs  0.250  0.286  0.298  0.00
Cs  0.750  0.714  0.702  0.00
Mn  0.750  0.351  0.883  3.86
Mn  0.250  0.649  0.117  3.86

Values from the calculation:
D(E_F): 0.1034 states/eV per atom
Uncorrected formation energy: -646 meV/atom
Calculated density: 4.3 g cm⁻³

(2)
Entry from the Alexandria database: a relaxed structure of CaMgRe2 (PBE).

Lattice parameters (Å, degrees): 10.043 10.043 10.043 16.35 16.35 16.35
Fractional positions:
Ca  0.250  0.250  0.250
Mg  0.750  0.750  0.750
Re  0.005  0.005  0.005
Re  0.495  0.495  0.495

Values from the calculation:
DFT formation energy: 668 meV/atom
D(E_F): 0.6574 states/eV per atom
Calculated density: 10.4 g cm⁻³

Q: The highest calculated density belongs to which entry?
A: CaMgRe2